Crystalline TaCd2FeB at its relaxed geometry. Source: Alexandria, functional PBE.

* VASP energy: -3.670 eV/atom
* calculated formation energy: 202.1 kJ/mol of atoms
* mass density: 5.93 g cm⁻³
* V: 26.47 Å³/atom
* total magnetization: 1.4 Bohr magnetons per cell
* space-group type: No. 123

Unit cell a=5.4905 b=5.4905 c=4.3896 alpha=90.00 beta=90.00 gamma=90.00
Fractional coordinates of all 5 atoms:
1 Ta 0.0000 0.0000 0.0000
2 Cd 0.0000 0.5000 0.0000
3 Cd 0.5000 0.0000 0.0000
4 Fe 0.0000 0.0000 0.5000
5 B 0.5000 0.5000 0.5000